A geometry-optimized HoTh2 structure. Source: Alexandria via LeMat-Bulk, functional PBE.

Computed properties:
Calculated volume ... 191 Å³ per cell
Formation enthalpy at 0 K ... 0.049 eV/atom
Excess energy over the best structure of this formula in the dataset ... 9 meV per atom

Lattice parameters (Å, degrees): 3.5962 4.9809 10.6903 90.00 90.00 90.00
With the nearest neighbours (Å) after each atom.
Space group Immm (No. 71)
Unique sites:
Ho 0.0000 0.0000 0.0000  10 Th 3.54-3.56, 2 Ho 3.60
Th 0.0000 0.0000 0.3314  7 Th 3.53-3.60, 5 Ho 3.54-3.56